This record from the Alexandria database describes Tb8Se15 at its PBEsol-relaxed geometry. The functional is SCAN. Values from VASP.

Computed properties:
Volume (Å³ per cell): 1570.1
Formation energy without anion corrections (eV per atom): -1.87
Size of the total moment (μB per cell): 0.00

```
&SYSTEM
  ibrav = 0, nat = 69, ntyp = 2
/
ATOMIC_SPECIES
Se 78.96 Se.upf
Tb 158.93 Tb.upf
CELL_PARAMETERS angstrom
11.4530 -0.0070 0.0027
-0.3467 11.4477 0.0027
-0.0033 -0.0033 11.9754
ATOMIC_POSITIONS crystal
Se 0.5705 0.9325 0.6665
Tb 0.7487 0.9965 0.5000
Tb 0.7440 0.0129 0.1659
Tb 0.5051 0.7542 0.8307
Se 0.5620 0.1885 0.8334
Tb 0.2458 0.4948 0.8308
Tb 0.2372 0.5131 0.5000
Se 0.2359 0.2237 0.1576
Se 0.8062 0.1938 0.0000
Se 0.0675 0.4295 0.6666
Se 0.9949 0.0054 0.1035
Se 0.3199 0.6801 0.3347
Se 0.8115 0.4380 0.8333
Tb 0.2458 0.4949 0.1693
Se 0.5705 0.9325 0.3334
Se 0.3892 0.3799 0.3476
Se 0.5686 0.1837 0.5000
Se 0.3199 0.6801 0.6653
Se 0.2700 0.2613 0.5000
Se 0.3182 0.9316 0.8348
Tb 0.8943 0.6068 0.9999
Se 0.8841 0.8704 0.6843
Tb 0.3891 0.1150 0.3312
Se 0.8163 0.4314 0.5000
Se 0.6201 0.6108 0.6524
Se 0.0675 0.4295 0.3335
Tb 0.3932 0.1057 0.0001
Tb 0.1572 0.8428 0.0000
Se 0.5050 0.4950 0.8123
Se 0.6415 0.6314 0.9999
Se 0.8115 0.4380 0.1666
Tb 0.4869 0.7628 0.5000
Tb 0.1405 0.8594 0.3323
Se 0.8236 0.1764 0.3347
Tb 0.3892 0.1151 0.6689
Se 0.0684 0.6818 0.1652
Se 0.6201 0.6108 0.3474
Tb 0.7439 0.0129 0.8341
Se 0.9946 0.0051 0.8965
Se 0.5761 0.9307 0.0000
Tb 0.6289 0.3711 0.0000
Tb 0.8850 0.6109 0.6688
Se 0.3320 0.6680 0.0000
Se 0.3182 0.9315 0.1653
Tb 0.6459 0.3541 0.6656
Tb 0.9871 0.2560 0.8341
Se 0.8839 0.8703 0.3157
Se 0.3118 0.9418 0.5000
Tb 0.6459 0.3541 0.3344
Se 0.7387 0.7300 0.5000
Se 0.1297 0.1161 0.6843
Tb 0.5052 0.7542 0.1692
Se 0.0693 0.4239 0.0000
Se 0.0066 0.9934 0.5000
Se 0.5050 0.4950 0.1877
Se 0.1296 0.1159 0.3157
Tb 0.8849 0.6108 0.3311
Se 0.3892 0.3799 0.6526
Se 0.0685 0.6818 0.8347
Tb 0.0035 0.2513 0.5000
Se 0.3686 0.3585 0.0001
Se 0.0582 0.6882 0.5000
Se 0.8236 0.1764 0.6653
Se 0.7763 0.7641 0.8424
Tb 0.9871 0.2561 0.1659
Tb 0.1406 0.8595 0.6677
Se 0.7763 0.7641 0.1573
Se 0.5621 0.1885 0.1667
Se 0.2359 0.2237 0.8427
```

This record from the Alexandria database describes KAg2Au at its PBEsol-relaxed geometry. The functional is SCAN. Values from VASP.

Computed properties:
Calculated formation energy (eV per atom): 0.258
Volume (Å³ per cell): 79.6
Relative energy among the computed polymorphs (eV per atom): 0.204
Size of the total moment (μB per cell): 0.00

```
&SYSTEM
  ibrav = 0, nat = 4, ntyp = 3
/
ATOMIC_SPECIES
Ag 107.87 Ag.upf
K 39.10 K.upf
Au 196.97 Au.upf
CELL_PARAMETERS angstrom
3.0034 0.0000 0.0000
1.5017 2.6011 0.0000
1.5017 0.8670 10.1840
ATOMIC_POSITIONS crystal
Ag 0.2408 0.2408 0.2776
K 0.0000 0.0000 0.0000
Ag 0.7592 0.7592 0.7224
Au 0.5000 0.5000 0.5000
```

This record from the Alexandria database describes Cr2ReW at its PBEsol-relaxed geometry. The functional is SCAN. Values from VASP.

Computed properties:
Calculated formation energy (eV per atom): 0.000
Volume (Å³ per cell): 52.9
Size of the total moment (μB per cell): 0.00

```
&SYSTEM
  ibrav = 0, nat = 4, ntyp = 3
/
ATOMIC_SPECIES
Re 186.21 Re.upf
Cr 52.00 Cr.upf
W 183.84 W.upf
CELL_PARAMETERS angstrom
2.9827 0.0000 0.0000
0.0000 4.2096 0.0000
-1.4913 -2.1048 4.2164
ATOMIC_POSITIONS crystal
Re 0.4969 0.4969 0.9938
Cr 0.7453 0.2453 0.4906
Cr 0.0031 0.0031 0.0061
W 0.2547 0.7547 0.5094
```